Cu2RePb | PBE-GGA | optimized geometry Values from VASP.

Structure (Quantum ESPRESSO input):
```
&SYSTEM
  ibrav = 0, nat = 4, ntyp = 3
/
ATOMIC_SPECIES
Pb 207.20 Pb.upf
Cu 63.55 Cu.upf
Re 186.21 Re.upf
ATOMIC_POSITIONS crystal
Pb 0.500 0.500 0.250
Cu 0.000 0.000 0.954
Cu 0.000 0.000 0.546
Re 0.500 0.500 0.750
CELL_PARAMETERS angstrom
2.866 0.028 0.000
-0.028 2.866 0.000
0.000 0.000 8.366
```

Results
Space-group type: P4/mmm, No. 123
ΔH_f (0 K) in eV/atom: 0.569
Energy above the most stable polymorph in this dataset in meV per atom: 0

Cu2RePb | PBE-GGA | optimized geometry Values from VASP.

Structure (Quantum ESPRESSO input):
```
&SYSTEM
  ibrav = 0, nat = 4, ntyp = 3
/
ATOMIC_SPECIES
Re 186.21 Re.upf
Cu 63.55 Cu.upf
Pb 207.20 Pb.upf
ATOMIC_POSITIONS crystal
Re 0.000 0.500 0.500
Cu 0.500 0.500 0.000
Cu 0.000 0.000 0.000
Pb 0.500 0.000 0.500
CELL_PARAMETERS angstrom
4.057 0.000 0.000
0.000 4.057 0.000
0.000 0.000 3.812
```

Results
Space-group type: P4/mmm, No. 123
ΔH_f (0 K) in eV/atom: 0.664
Energy above the most stable polymorph in this dataset in meV per atom: 95

Cu2RePb | PBE-GGA | optimized geometry Values from VASP.

Structure (Quantum ESPRESSO input):
```
&SYSTEM
  ibrav = 0, nat = 4, ntyp = 3
/
ATOMIC_SPECIES
Re 186.21 Re.upf
Cu 63.55 Cu.upf
Pb 207.20 Pb.upf
ATOMIC_POSITIONS crystal
Re 0.500 0.750 0.750
Cu 0.000 0.456 0.542
Cu 0.000 0.044 0.958
Pb 0.500 0.250 0.250
CELL_PARAMETERS angstrom
3.870 0.000 0.000
0.000 2.910 -0.029
0.000 2.906 5.792
```

Results
Space-group type: P2/m, No. 10
ΔH_f (0 K) in eV/atom: 0.644
Energy above the most stable polymorph in this dataset in meV per atom: 75

Cu2RePb | PBE-GGA | optimized geometry Values from VASP.

Structure (Quantum ESPRESSO input):
```
&SYSTEM
  ibrav = 0, nat = 4, ntyp = 3
/
ATOMIC_SPECIES
Pb 207.20 Pb.upf
Cu 63.55 Cu.upf
Re 186.21 Re.upf
ATOMIC_POSITIONS crystal
Pb 0.501 0.501 0.563
Cu 0.001 0.001 0.079
Cu 0.735 0.735 0.700
Re 0.264 0.264 0.158
CELL_PARAMETERS angstrom
-2.805 -1.907 4.160
-4.131 -2.908 1.813
0.986 -4.579 1.395
```

Results
Space-group type: Cm, No. 8
ΔH_f (0 K) in eV/atom: 0.659
Energy above the most stable polymorph in this dataset in meV per atom: 91

Cu2RePb | PBE-GGA | optimized geometry Values from VASP.

Structure (Quantum ESPRESSO input):
```
&SYSTEM
  ibrav = 0, nat = 4, ntyp = 3
/
ATOMIC_SPECIES
Cu 63.55 Cu.upf
Re 186.21 Re.upf
Pb 207.20 Pb.upf
ATOMIC_POSITIONS crystal
Cu 0.998 0.998 0.998
Cu 0.263 0.263 0.263
Re 0.738 0.738 0.738
Pb 0.500 0.500 0.500
CELL_PARAMETERS angstrom
9.192 0.000 0.000
8.720 2.906 0.000
8.720 1.415 2.538
```

Results
Space-group type: R3m, No. 160
ΔH_f (0 K) in eV/atom: 0.704
Energy above the most stable polymorph in this dataset in meV per atom: 135

Cu2RePb2 | PBE-GGA | optimized geometry Values from VASP.

Structure (Quantum ESPRESSO input):
```
&SYSTEM
  ibrav = 0, nat = 5, ntyp = 3
/
ATOMIC_SPECIES
Pb 207.20 Pb.upf
Cu 63.55 Cu.upf
Re 186.21 Re.upf
ATOMIC_POSITIONS crystal
Pb 0.603 0.603 0.793
Pb 0.397 0.397 0.207
Cu 0.250 0.750 0.500
Cu 0.750 0.250 0.500
Re 0.000 0.000 0.000
CELL_PARAMETERS angstrom
3.403 0.000 0.000
0.000 3.403 0.000
1.701 1.701 8.213
```

Results
Space-group type: I4/mmm, No. 139
ΔH_f (0 K) in eV/atom: 0.698
Energy above the most stable polymorph in this dataset in meV per atom: 0

Cu2RePb2 | PBE-GGA | optimized geometry Values from VASP.

Structure (Quantum ESPRESSO input):
```
&SYSTEM
  ibrav = 0, nat = 10, ntyp = 3
/
ATOMIC_SPECIES
Pb 207.20 Pb.upf
Cu 63.55 Cu.upf
Re 186.21 Re.upf
ATOMIC_POSITIONS crystal
Pb 0.670 0.170 0.000
Pb 0.830 0.670 0.000
Pb 0.170 0.330 0.000
Pb 0.330 0.830 0.000
Cu 0.625 0.875 0.500
Cu 0.125 0.625 0.500
Cu 0.375 0.125 0.500
Cu 0.875 0.375 0.500
Re 0.500 0.500 0.000
Re 0.000 0.000 0.000
CELL_PARAMETERS angstrom
-3.173 -4.728 -4.882
5.968 -4.515 0.494
-1.486 -1.680 2.593
```

Results
Space-group type: P4/mbm, No. 127
ΔH_f (0 K) in eV/atom: 0.902
Energy above the most stable polymorph in this dataset in meV per atom: 204

Cu2RePb | PBE-GGA | optimized geometry Values from VASP.

Structure (Quantum ESPRESSO input):
```
&SYSTEM
  ibrav = 0, nat = 4, ntyp = 3
/
ATOMIC_SPECIES
Cu 63.55 Cu.upf
Re 186.21 Re.upf
Pb 207.20 Pb.upf
ATOMIC_POSITIONS crystal
Cu 0.500 0.500 0.190
Cu 0.000 0.000 0.008
Re 0.500 0.500 0.803
Pb 0.000 0.000 0.499
CELL_PARAMETERS angstrom
-3.025 -0.356 -0.446
0.140 -2.788 1.297
-1.255 2.839 6.241
```

Results
Space-group type: P4mm, No. 99
ΔH_f (0 K) in eV/atom: 0.657
Energy above the most stable polymorph in this dataset in meV per atom: 88

Cu2RePb | PBE-GGA | optimized geometry Values from VASP.

Structure (Quantum ESPRESSO input):
```
&SYSTEM
  ibrav = 0, nat = 4, ntyp = 3
/
ATOMIC_SPECIES
Cu 63.55 Cu.upf
Re 186.21 Re.upf
Pb 207.20 Pb.upf
ATOMIC_POSITIONS crystal
Cu 0.500 0.000 0.500
Cu 0.000 0.000 0.000
Re 0.500 0.500 0.000
Pb 0.000 0.500 0.500
CELL_PARAMETERS angstrom
-1.949 4.315 4.126
-3.140 -1.917 -3.244
-1.664 -0.874 2.156
```

Results
Space-group type: C2/m, No. 12
ΔH_f (0 K) in eV/atom: 0.658
Energy above the most stable polymorph in this dataset in meV per atom: 89

Cu3RePb | PBE-GGA | optimized geometry Values from VASP.

Structure (Quantum ESPRESSO input):
```
&SYSTEM
  ibrav = 0, nat = 5, ntyp = 3
/
ATOMIC_SPECIES
Pb 207.20 Pb.upf
Cu 63.55 Cu.upf
Re 186.21 Re.upf
ATOMIC_POSITIONS crystal
Pb 0.500 0.500 0.500
Cu 0.000 0.000 0.500
Cu 0.500 0.000 0.000
Cu 0.000 0.500 0.000
Re 0.000 0.000 0.000
CELL_PARAMETERS angstrom
-1.547 1.577 4.188
-4.457 -0.943 -1.291
0.404 -4.364 1.793
```

Results
Space-group type: Pm-3m, No. 221
ΔH_f (0 K) in eV/atom: 1.214
Energy above the most stable polymorph in this dataset in meV per atom: 0

Cu2RePb | PBE-GGA | optimized geometry Values from VASP.

Structure (Quantum ESPRESSO input):
```
&SYSTEM
  ibrav = 0, nat = 4, ntyp = 3
/
ATOMIC_SPECIES
Pb 207.20 Pb.upf
Re 186.21 Re.upf
Cu 63.55 Cu.upf
ATOMIC_POSITIONS crystal
Pb 0.250 0.250 0.250
Re 0.750 0.750 0.750
Cu 0.491 0.491 0.491
Cu 0.009 0.009 0.009
CELL_PARAMETERS angstrom
9.213 -0.001 0.000
8.741 2.910 0.000
8.741 1.417 2.542
```

Results
Space-group type: R-3m, No. 166
ΔH_f (0 K) in eV/atom: 0.639
Energy above the most stable polymorph in this dataset in meV per atom: 70

Cu2RePb | PBE-GGA | optimized geometry Values from VASP.

Structure (Quantum ESPRESSO input):
```
&SYSTEM
  ibrav = 0, nat = 4, ntyp = 3
/
ATOMIC_SPECIES
Pb 207.20 Pb.upf
Re 186.21 Re.upf
Cu 63.55 Cu.upf
ATOMIC_POSITIONS crystal
Pb 0.250 0.750 0.500
Re 0.750 0.250 0.500
Cu 0.500 0.500 0.000
Cu 0.000 0.000 0.000
CELL_PARAMETERS angstrom
4.941 0.010 0.000
1.688 4.644 0.000
-3.315 -2.327 2.831
```

Results
Space-group type: I4/mmm, No. 139
ΔH_f (0 K) in eV/atom: 0.838
Energy above the most stable polymorph in this dataset in meV per atom: 269